! Sr2AsAu | OQMD | PBE | optimized geometry; values from VASP
&SYSTEM
  ibrav = 0, nat = 4, ntyp = 3
/
ATOMIC_SPECIES
As 74.92 As.upf
Au 196.97 Au.upf
Sr 87.62 Sr.upf
CELL_PARAMETERS angstrom
5.377 0.000 0.000
0.000 5.377 0.000
0.000 0.000 3.841
ATOMIC_POSITIONS angstrom
As 2.688 2.688 0.000
Au 0.000 0.000 0.000
Sr 2.688 0.000 1.921
Sr 0.000 2.688 1.921
! VASP energy (eV per cell): -14.9
! Volume (A^3/atom): 27.8